Compound: NaGaAsPb2
Source: the Alexandria database
Functional: PBE-GGA
Structure: relaxed

Unit cell a=5.740 b=5.112 c=5.740 alpha=90.00 beta=90.00 gamma=90.00
Positions (direct):
Pb 0.000 0.000 0.500
Pb 0.500 0.000 0.000
Na 0.500 0.500 0.500
As 0.000 0.500 0.000
Ga 0.000 0.000 0.000

Calculated values
ΔH_f (0 K)   1.2 eV/f.u.
Mass density   5.7 Mg/m³
N(E_F)   0.466 states/eV per atom

Compound: Na2GaAs2Pd
Source: the Alexandria database
Functional: PBE-GGA
Structure: relaxed

Unit cell a=5.687 b=6.106 c=8.313 alpha=111.55 beta=110.00 gamma=90.00
Positions (direct):
Na 0.412 0.174 0.348
Na 0.588 0.826 0.652
Na 0.063 0.326 0.652
Na 0.937 0.674 0.348
Ga 0.500 0.750 0.000
Ga 0.500 0.250 0.000
As 0.853 0.110 0.220
As 0.367 0.610 0.220
As 0.633 0.390 0.780
As 0.147 0.890 0.780
Pd 0.000 0.750 0.000
Pd 0.000 0.250 0.000

Calculated values
ΔH_f (0 K)   -2.4 eV/f.u.
Mass density   4.9 Mg/m³
N(E_F)   0.533 states/eV per atom

Compound: NaGaAsS4
Source: the Alexandria database
Functional: PBE-GGA
Structure: relaxed

Unit cell a=6.344 b=6.344 c=6.308 alpha=120.19 beta=120.19 gamma=90.00
Site moments in Bohr magnetons follow the coordinates.
Positions (direct):
Na 0.000 0.000 0.000  0.00
Ga 0.500 0.500 0.000  0.00
As 0.250 0.750 0.500  0.07
S 0.158 0.131 0.721  0.09
S 0.410 0.842 0.279  0.09
S 0.562 0.590 0.721  0.09
S 0.869 0.438 0.279  0.09

Calculated values
Mass density   2.8 Mg/m³
Uncorrected formation energy   -0.451 eV per atom
N(E_F)   0.550 states/eV per atom

- Which of these has the lowest mass density?
  NaGaAsS4

- What is the mass density in the second record?
  4.9 Mg/m³

- N(E_F) of number 2 (Na2GaAs2Pd)?
  0.533 states/eV per atom

- Which value of mass density does entry 1 give?
  5.7 Mg/m³